No. 1
TlZnCl2: optimized geometry, PBE.

Geometry as CIF:
```
data_TlZnCl2
_chemical_formula_sum 'Tl4 Zn4 Cl8'
_cell_length_a 7.156
_cell_length_b 7.156
_cell_length_c 10.325
_cell_angle_alpha 90.00
_cell_angle_beta 90.00
_cell_angle_gamma 90.00
_space_group_name_H-M_alt 'I -4 2 d'
_space_group_IT_number 122
_space_group_name_Hall 'I -4 2bw'
loop_
_atom_site_label
_atom_site_type_symbol
_atom_site_fract_x
_atom_site_fract_y
_atom_site_fract_z
Tl1 Tl 0.000 0.000 0.000
Zn1 Zn 0.000 0.000 0.500
Cl1 Cl 0.161 0.250 0.625
```

The total energy is -38.957 eV/cell. The calculation puts the energy relative to the lowest polymorph listed for this composition at 101 meV per atom. The calculation puts the formation energy without anion corrections at -0.6014 eV/atom.

---

No. 2
TlZnCl2: optimized geometry, PBE.

Geometry as CIF:
```
data_TlZnCl2
_chemical_formula_sum 'Tl1 Zn1 Cl2'
_cell_length_a 3.941
_cell_length_b 3.941
_cell_length_c 7.411
_cell_angle_alpha 90.00
_cell_angle_beta 90.00
_cell_angle_gamma 90.00
_space_group_name_H-M_alt 'P 4 m m'
_space_group_IT_number 99
_space_group_name_Hall 'P 4 -2'
loop_
_atom_site_label
_atom_site_type_symbol
_atom_site_fract_x
_atom_site_fract_y
_atom_site_fract_z
Tl1 Tl 0.000 0.000 0.000
Zn1 Zn 0.500 0.500 0.471
Cl1 Cl 0.000 0.000 0.443
Cl2 Cl 0.500 0.500 0.813
```

The total energy is -9.691 eV/cell. The calculation puts the energy relative to the lowest polymorph listed for this composition at 113 meV per atom. The calculation puts the formation energy without anion corrections at -0.5894 eV/atom.

---

No. 3
TlZn3Cl: optimized geometry, PBE.

Geometry as CIF:
```
data_TlZn3Cl
_chemical_formula_sum 'Tl1 Zn3 Cl1'
_cell_length_a 5.225
_cell_length_b 5.225
_cell_length_c 5.225
_cell_angle_alpha 90.00
_cell_angle_beta 90.00
_cell_angle_gamma 90.00
_space_group_name_H-M_alt 'P m -3 m'
_space_group_IT_number 221
_space_group_name_Hall '-P 4 2 3'
loop_
_atom_site_label
_atom_site_type_symbol
_atom_site_fract_x
_atom_site_fract_y
_atom_site_fract_z
Tl1 Tl 0.000 0.000 0.000
Zn1 Zn 0.000 0.500 0.500
Cl1 Cl 0.500 0.500 0.500
```

The total energy is -6.009 eV/cell. The calculation puts the energy relative to the lowest polymorph listed for this composition at 218 meV per atom. The calculation puts the formation energy without anion corrections at 0.4053 eV/atom.

---

No. 4
Tl2ZnCl8: optimized geometry, PBE.

Geometry as CIF:
```
data_Tl2ZnCl8
_chemical_formula_sum 'Tl8 Zn4 Cl32'
_cell_length_a 18.121
_cell_length_b 8.024
_cell_length_c 12.664
_cell_angle_alpha 90.00
_cell_angle_beta 133.77
_cell_angle_gamma 90.00
_space_group_name_H-M_alt 'C 1 2/c 1'
_space_group_IT_number 15
_space_group_name_Hall '-C 2yc'
loop_
_atom_site_label
_atom_site_type_symbol
_atom_site_fract_x
_atom_site_fract_y
_atom_site_fract_z
Tl1 Tl 0.000 0.238 0.000
Zn1 Zn 0.000 0.499 0.250
Cl1 Cl 0.107 0.279 0.269
Cl2 Cl 0.107 0.279 0.769
Cl3 Cl 0.113 0.500 0.016
Cl4 Cl 0.118 0.000 0.040
```

The total energy is -116.658 eV/cell. The calculation puts the formation energy without anion corrections at -0.7623 eV/atom.

---

No. 5
TlZnCl3: optimized geometry, PBE.

Geometry as CIF:
```
data_TlZnCl3
_chemical_formula_sum 'Tl1 Zn1 Cl3'
_cell_length_a 5.379
_cell_length_b 5.379
_cell_length_c 5.379
_cell_angle_alpha 90.00
_cell_angle_beta 90.00
_cell_angle_gamma 90.00
_space_group_name_H-M_alt 'P m -3 m'
_space_group_IT_number 221
_space_group_name_Hall '-P 4 2 3'
loop_
_atom_site_label
_atom_site_type_symbol
_atom_site_fract_x
_atom_site_fract_y
_atom_site_fract_z
Tl1 Tl 0.000 0.000 0.000
Zn1 Zn 0.500 0.500 0.500
Cl1 Cl 0.000 0.000 0.500
```

The total energy is -10.716 eV/cell. The calculation puts the energy relative to the lowest polymorph listed for this composition at 813 meV per atom. The calculation puts the formation energy without anion corrections at -0.3072 eV/atom.

---

No. 6
TlZnCl3: optimized geometry, PBE.

Geometry as CIF:
```
data_TlZnCl3
_chemical_formula_sum 'Tl2 Zn2 Cl6'
_cell_length_a 6.329
_cell_length_b 6.714
_cell_length_c 8.363
_cell_angle_alpha 67.82
_cell_angle_beta 88.29
_cell_angle_gamma 84.01
_space_group_name_H-M_alt 'P 1'
_space_group_IT_number 1
_space_group_name_Hall 'P 1'
loop_
_atom_site_label
_atom_site_type_symbol
_atom_site_fract_x
_atom_site_fract_y
_atom_site_fract_z
Tl1 Tl 0.000 0.000 0.000
Tl2 Tl 0.495 0.244 0.497
Zn1 Zn 0.034 0.734 0.599
Zn2 Zn 0.537 0.593 0.897
Cl1 Cl 0.014 0.078 0.584
Cl2 Cl 0.181 0.679 0.370
Cl3 Cl 0.194 0.506 0.864
Cl4 Cl 0.518 0.922 0.914
Cl5 Cl 0.690 0.617 0.632
Cl6 Cl 0.691 0.321 0.124
```

The total energy is -29.565 eV/cell. The calculation puts the energy relative to the lowest polymorph listed for this composition at 0 meV per atom. The calculation puts the formation energy without anion corrections at -1.1205 eV/atom.

---

Total moment? In order: 0.00 0.00 0.00 0.00 0.47 0.00 μB per formula unit.
N(E_F)? In order: 2.092 1.747 1.622 0.000 3.314 0.000 states/eV/cell.
Density? In order: 4.28 4.91 5.08 3.79 4.01 3.82 Mg/m³.